*a*
# Sr3YFe, optimized geometry, DFT PBE-GGA
data_Sr3YFe
_chemical_formula_sum 'Sr3 Y1 Fe1'
_cell_length_a 6.493
_cell_length_b 6.493
_cell_length_c 6.493
_cell_angle_alpha 90.00
_cell_angle_beta 90.00
_cell_angle_gamma 90.00
_space_group_name_H-M_alt 'P m -3 m'
_space_group_IT_number 221
_space_group_name_Hall '-P 4 2 3'
loop_
_atom_site_label
_atom_site_type_symbol
_atom_site_fract_x
_atom_site_fract_y
_atom_site_fract_z
Sr1 Sr 0.000 0.000 0.500
Y1 Y 0.000 0.000 0.000
Fe1 Fe 0.500 0.500 0.500
# **N(E_F)**: 6.813 states/eV/cell
# **Crystal system**: cubic

=====

*b*
# Sr3YFe, optimized geometry, DFT PBE-GGA
data_Sr3YFe
_chemical_formula_sum 'Sr3 Y1 Fe1'
_cell_length_a 5.761
_cell_length_b 5.761
_cell_length_c 5.761
_cell_angle_alpha 90.00
_cell_angle_beta 90.00
_cell_angle_gamma 90.00
_space_group_name_H-M_alt 'P m -3 m'
_space_group_IT_number 221
_space_group_name_Hall '-P 4 2 3'
loop_
_atom_site_label
_atom_site_type_symbol
_atom_site_fract_x
_atom_site_fract_y
_atom_site_fract_z
Sr1 Sr 0.000 0.000 0.500
Y1 Y 0.500 0.500 0.500
Fe1 Fe 0.000 0.000 0.000
# **N(E_F)**: 14.653 states/eV/cell
# **Crystal system**: cubic

=====

Unit: kJ/mol of atoms. Relative energies: *a* 70.8; *b* 0.0.

=====

*a*
# SrZrFe2, optimized geometry, DFT PBE-GGA
data_SrZrFe2
_chemical_formula_sum 'Sr1 Zr1 Fe2'
_cell_length_a 4.941
_cell_length_b 4.941
_cell_length_c 3.280
_cell_angle_alpha 90.00
_cell_angle_beta 90.00
_cell_angle_gamma 90.00
_space_group_name_H-M_alt 'P 4/m m m'
_space_group_IT_number 123
_space_group_name_Hall '-P 4 2'
loop_
_atom_site_label
_atom_site_type_symbol
_atom_site_fract_x
_atom_site_fract_y
_atom_site_fract_z
Sr1 Sr 0.000 0.000 0.000
Zr1 Zr 0.500 0.500 0.000
Fe1 Fe 0.000 0.500 0.500
# **N(E_F)**: 6.551 states/eV/cell
# **Crystal system**: tetragonal

=====

*b*
# SrZrFe2, optimized geometry, DFT PBE-GGA
data_SrZrFe2
_chemical_formula_sum 'Sr2 Zr2 Fe4'
_cell_length_a 4.042
_cell_length_b 4.042
_cell_length_c 9.844
_cell_angle_alpha 90.00
_cell_angle_beta 90.00
_cell_angle_gamma 90.00
_space_group_name_H-M_alt 'I -4 m 2'
_space_group_IT_number 119
_space_group_name_Hall 'I -4 -2'
loop_
_atom_site_label
_atom_site_type_symbol
_atom_site_fract_x
_atom_site_fract_y
_atom_site_fract_z
Sr1 Sr 0.000 0.000 0.000
Zr1 Zr 0.000 0.500 0.750
Fe1 Fe 0.000 0.000 0.500
Fe2 Fe 0.000 0.500 0.250
# **N(E_F)**: 12.602 states/eV/cell
# **Crystal system**: tetragonal

=====

Unit: kJ/mol of atoms. Relative energies: *a* 0.0; *b* 18.3.

=====

*a*
# SrZrFe2, optimized geometry, DFT PBE-GGA
data_SrZrFe2
_chemical_formula_sum 'Sr1 Zr1 Fe2'
_cell_length_a 3.255
_cell_length_b 3.255
_cell_length_c 8.053
_cell_angle_alpha 90.00
_cell_angle_beta 90.00
_cell_angle_gamma 90.00
_space_group_name_H-M_alt 'P 4 m m'
_space_group_IT_number 99
loop_
_space_group_symop_operation_xyz
'x,y,z'
'-y,x,z'
'-x,-y,z'
'y,-x,z'
'-x,y,z'
'y,x,z'
'x,-y,z'
'-y,-x,z'
loop_
_atom_site_label
_atom_site_type_symbol
_atom_site_fract_x
_atom_site_fract_y
_atom_site_fract_z
Sr1 Sr 0.000 0.000 0.000
Zr1 Zr 0.500 0.500 0.388
Fe1 Fe 0.000 0.000 0.579
Fe2 Fe 0.500 0.500 0.715
# **N(E_F)**: 4.476 states/eV/cell
# **Crystal system**: tetragonal

=====

*b*
# SrZrFe2, optimized geometry, DFT PBE-GGA
data_SrZrFe2
_chemical_formula_sum 'Sr1 Zr1 Fe2'
_cell_length_a 3.496
_cell_length_b 3.496
_cell_length_c 7.047
_cell_angle_alpha 90.00
_cell_angle_beta 90.00
_cell_angle_gamma 90.00
_space_group_name_H-M_alt 'P 4/m m m'
_space_group_IT_number 123
_space_group_name_Hall '-P 4 2'
loop_
_atom_site_label
_atom_site_type_symbol
_atom_site_fract_x
_atom_site_fract_y
_atom_site_fract_z
Sr1 Sr 0.000 0.000 0.000
Zr1 Zr 0.000 0.000 0.500
Fe1 Fe 0.500 0.500 0.332
# **N(E_F)**: 5.698 states/eV/cell
# **Crystal system**: tetragonal

=====

Unit: kJ/mol of atoms. Relative energies: *a* 10.8; *b* 0.0.

=====

*a*
# SrZr3Fe, optimized geometry, DFT PBE-GGA
data_SrZr3Fe
_chemical_formula_sum 'Sr1 Zr3 Fe1'
_cell_length_a 5.025
_cell_length_b 5.025
_cell_length_c 5.025
_cell_angle_alpha 90.00
_cell_angle_beta 90.00
_cell_angle_gamma 90.00
_space_group_name_H-M_alt 'P m -3 m'
_space_group_IT_number 221
_space_group_name_Hall '-P 4 2 3'
loop_
_atom_site_label
_atom_site_type_symbol
_atom_site_fract_x
_atom_site_fract_y
_atom_site_fract_z
Sr1 Sr 0.000 0.000 0.000
Zr1 Zr 0.000 0.500 0.500
Fe1 Fe 0.500 0.500 0.500
# **N(E_F)**: 6.615 states/eV/cell
# **Crystal system**: cubic

=====

*b*
# SrZr3Fe, optimized geometry, DFT PBE-GGA
data_SrZr3Fe
_chemical_formula_sum 'Sr1 Zr3 Fe1'
_cell_length_a 5.018
_cell_length_b 5.018
_cell_length_c 5.018
_cell_angle_alpha 90.00
_cell_angle_beta 90.00
_cell_angle_gamma 90.00
_space_group_name_H-M_alt 'P m -3 m'
_space_group_IT_number 221
_space_group_name_Hall '-P 4 2 3'
loop_
_atom_site_label
_atom_site_type_symbol
_atom_site_fract_x
_atom_site_fract_y
_atom_site_fract_z
Sr1 Sr 0.000 0.000 0.000
Zr1 Zr 0.000 0.000 0.500
Fe1 Fe 0.500 0.500 0.500
# **N(E_F)**: 13.746 states/eV/cell
# **Crystal system**: cubic

=====

Unit: kJ/mol of atoms. Relative energies: *a* 0.0; *b* 204.9.